The following is a DFT calculation (PBE-GGA) of a relaxed Ac3Sn4Hg4 crystal.

Calculated values
Energy relative to the lowest polymorph listed for this composition: 31.8 meV per atom
Formation energy from the elements: -0.3914 eV/atom
Fermi-level density of states: 7.93 states/eV/cell
Energy: -33.8 eV per cell
Total moment: 0.00 μB per formula unit

Lattice parameters (Å, degrees): 10.0396 10.0396 10.0396 153.71 130.88 56.56
Closest atoms and distances in Å follow each position.
Fractional positions:
Ac (0.0000, 0.0000, 0.0000)  6 Hg 3.57-3.97, 8 Sn 3.74
Ac (0.3622, 0.8622, 0.5000)  6 Hg 3.34-3.63, 4 Sn 3.53
Ac (0.6378, 0.1378, 0.5000)  6 Hg 3.34-3.63, 4 Sn 3.53
Sn (0.0323, 0.3548, 0.6774)  3 Hg 2.86-3.06, 1 Sn 2.96
Sn (0.3226, 0.6452, 0.6774)  3 Hg 2.86-3.06, 1 Sn 2.96
Sn (0.6774, 0.3548, 0.3226)  3 Hg 2.86-3.06, 1 Sn 2.96
Sn (0.9677, 0.6452, 0.3226)  3 Hg 2.86-3.06, 1 Sn 2.96
Hg (0.2244, 0.2244, 0.0000)  4 Sn 3.06, 2 Ac 3.34
Hg (0.3289, 0.5000, 0.8289)  1 Hg 2.86, 2 Sn 2.86
Hg (0.6711, 0.5000, 0.1711)  1 Hg 2.86, 2 Sn 2.86
Hg (0.7756, 0.7756, 0.0000)  4 Sn 3.06, 2 Ac 3.34